## LiCeMg6 (GGA-PBE)

Data for LiCeMg6 after structural relaxation.

## Properties
- Excess energy over the best structure of this formula in the dataset: 0.036 eV/atom
- Space group: Amm2, No. 38

abc: 6.442 6.442 4.942
angles: 90.00 90.00 105.55
Sites, in units of the cell vectors:
Mg  0.899  0.683  0.500
Mg  0.317  0.101  0.500
Mg  0.684  0.899  0.000
Ce  0.386  0.614  0.500
Mg  0.619  0.381  0.000
Mg  0.172  0.828  0.000
Li  0.822  0.178  0.500
Mg  0.101  0.316  0.000